(1)
The following is a PBE calculation of a relaxed K2AgOsCl6 crystal, from OQMD.

Calculated values
Electronic total energy ... -3.68 eV per atom
Symmetry ... Fm-3m
Magnetization ... 1.00 μB per formula unit
Calculated volume ... 25.550 A^3/atom

Cell: 7.1226 7.1226 7.1226 Å, 60.00 60.00 60.00°
Last column: nearest neighbours and their distance in Å.
Fractional coordinates of all 10 atoms:
Os: 0.5000 0.5000 0.5000  6 Cl 2.38
Cl: 0.2642 0.7358 0.7358  1 Os 2.38
Cl: 0.2642 0.2642 0.7358  1 Os 2.38
Cl: 0.7358 0.2642 0.2642  1 Os 2.38
Cl: 0.7358 0.7358 0.2642  1 Os 2.38
K: 0.7500 0.7500 0.7500  12 Cl 3.56
K: 0.2500 0.2500 0.2500  12 Cl 3.56
Ag: 0.0000 0.0000 0.0000  6 Cl 2.66
Cl: 0.7358 0.2642 0.7358  1 Os 2.38
Cl: 0.2642 0.7358 0.2642  1 Os 2.38

=====

(2)
The following is a PBE calculation of a relaxed Nb2FeRe crystal, from OQMD.

Calculated values
Electronic total energy ... -10.20 eV per atom
Symmetry ... F-43m
Magnetization ... 1.80 μB per formula unit
Calculated volume ... 15.519 A^3/atom
ΔE_f ... 0.025 eV per atom

Cell: 4.4444 4.4444 4.4444 Å, 60.00 60.00 60.00°
Last column: nearest neighbours and their distance in Å.
Fractional coordinates of all 4 atoms:
Nb: 0.0000 0.0000 0.0000  4 Fe 2.72, 4 Nb 2.72
Nb: 0.7500 0.7500 0.7500  4 Nb 2.72, 4 Re 2.72
Re: 0.5000 0.5000 0.5000  4 Fe 2.72, 4 Nb 2.72
Fe: 0.2500 0.2500 0.2500  4 Re 2.72, 4 Nb 2.72

=====

(3)
The following is a PBE calculation of a relaxed Li2PrNdTe2O2 crystal, from OQMD.

Calculated values
Electronic total energy ... -5.87 eV per atom
Symmetry ... P4mm
Magnetization ... 0.00 μB per formula unit
Calculated volume ... 20.789 A^3/atom

Cell: 4.1653 4.1653 9.5858 Å, 90.00 90.00 90.00°
Last column: nearest neighbours and their distance in Å.
Fractional coordinates of all 8 atoms:
O: 0.0000 0.5000 0.9986  2 Nd 2.37, 2 Pr 2.38
O: 0.5000 0.0000 0.9986  2 Nd 2.37, 2 Pr 2.38
Pr: 0.5000 0.5000 0.1192  4 O 2.38
Nd: 0.0000 0.0000 0.8815  4 O 2.37
Li: 0.5000 0.0000 0.5006  4 Te 2.72-2.73, 4 Li 2.95
Li: 0.0000 0.5000 0.5006  4 Te 2.72-2.73, 4 Li 2.95
Te: 0.0000 0.0000 0.3171  4 Li 2.73
Te: 0.5000 0.5000 0.6836  4 Li 2.72

=====

(4)
The following is a PBE calculation of a relaxed ZnNiPdPb crystal, from OQMD.

Calculated values
Electronic total energy ... -4.00 eV per atom
Symmetry ... F-43m
Magnetization ... 0.00 μB per formula unit
Calculated volume ... 16.431 A^3/atom

Cell: 4.5298 4.5298 4.5298 Å, 60.00 60.00 60.00°
Last column: nearest neighbours and their distance in Å.
Fractional coordinates of all 4 atoms:
Ni: 0.7500 0.7500 0.7500  4 Zn 2.77, 4 Pb 2.77
Zn: 0.5000 0.5000 0.5000  4 Ni 2.77, 4 Pd 2.77
Pd: 0.2500 0.2500 0.2500  4 Pb 2.77, 4 Zn 2.77
Pb: 0.0000 0.0000 0.0000  4 Ni 2.77, 4 Pd 2.77

=====

(5)
The following is a PBE calculation of a relaxed LiNi2Bi crystal, from OQMD.

Calculated values
Electronic total energy ... -4.29 eV per atom
Symmetry ... F-43m
Magnetization ... 0.01 μB per formula unit
Calculated volume ... 14.331 A^3/atom

Cell: 4.3280 4.3280 4.3280 Å, 60.00 60.00 60.00°
Last column: nearest neighbours and their distance in Å.
Fractional coordinates of all 4 atoms:
Ni: 0.7500 0.7500 0.7500  4 Ni 2.65, 4 Li 2.65
Bi: 0.2500 0.2500 0.2500  4 Li 2.65, 4 Ni 2.65
Ni: 0.5000 0.5000 0.5000  4 Ni 2.65, 4 Bi 2.65
Li: 0.0000 0.0000 0.0000  4 Bi 2.65, 4 Ni 2.65

=====

(6)
The following is a PBE calculation of a relaxed NaGdCoSe3 crystal, from OQMD.

Calculated values
Electronic total energy ... -5.00 eV per atom
Offset from the most stable computed form ... 0.0 meV per atom
Symmetry ... Cmcm
Magnetization ... 2.93 μB per formula unit
Calculated volume ... 24.475 A^3/atom

Cell: 7.0552 7.0552 10.8220 Å, 90.00 90.00 33.04°
Last column: nearest neighbours and their distance in Å.
Fractional coordinates of all 12 atoms:
Se: 0.3624 0.3624 0.0776  1 Co 2.39
Gd: 0.0000 0.0000 0.5000  6 Se 2.86-2.91
Se: 0.3624 0.3624 0.4224  1 Co 2.39
Co: 0.5271 0.5271 0.7500  4 Se 2.39-2.47
Se: 0.0793 0.0793 0.2500  2 Co 2.47
Gd: 0.0000 0.0000 0.0000  6 Se 2.86-2.91
Na: 0.7565 0.7565 0.2500  6 Se 3.09-3.13
Na: 0.2435 0.2435 0.7500  6 Se 3.09-3.13
Se: 0.6376 0.6376 0.5776  1 Co 2.39
Se: 0.9207 0.9207 0.7500  2 Co 2.47
Co: 0.4729 0.4729 0.2500  4 Se 2.39-2.47
Se: 0.6376 0.6376 0.9224  1 Co 2.39

=====

(7)
The following is a PBE calculation of a relaxed Tb2SmCd3AgAu2 crystal, from OQMD.

Calculated values
Electronic total energy ... -3.47 eV per atom
Symmetry ... Amm2
Magnetization ... 0.01 μB per formula unit
Calculated volume ... 23.378 A^3/atom
ΔE_f ... -0.582 eV per atom

Cell: 3.9030 7.8986 7.8986 Å, 120.22 90.00 90.00°
Last column: nearest neighbours and their distance in Å.
Fractional coordinates of all 9 atoms:
Cd: 0.5000 0.7400 0.0011  2 Ag 2.84, 2 Au 2.93-2.97
Au: 0.5000 0.6673 0.3307  3 Cd 2.93-2.98, 4 Tb 3.07-3.08, 2 Sm 3.11
Tb: 0.0000 0.0000 0.4085  4 Au 3.07-3.08, 1 Ag 3.22, 6 Cd 3.26-3.44
Cd: 0.5000 0.2597 0.2597  2 Ag 2.82, 2 Au 2.98
Cd: 0.5000 0.0011 0.7400  2 Ag 2.84, 2 Au 2.93-2.97
Ag: 0.0000 0.0009 0.0009  6 Cd 2.82-2.84
Sm: 0.0000 0.5919 0.5919  4 Au 3.11, 1 Ag 3.22, 6 Cd 3.26-3.44
Tb: 0.0000 0.4085 0.0000  4 Au 3.07-3.08, 1 Ag 3.22, 6 Cd 3.26-3.44
Au: 0.5000 0.3307 0.6673  3 Cd 2.93-2.98, 4 Tb 3.07-3.08, 2 Sm 3.11

=====

(8)
The following is a PBE calculation of a relaxed SrZnSiAu2 crystal, from OQMD.

Calculated values
Electronic total energy ... -3.46 eV per atom
Symmetry ... I-4m2
Calculated volume ... 21.448 A^3/atom

Cell: 6.2254 6.2254 6.2254 Å, 137.90 137.90 61.05°
Last column: nearest neighbours and their distance in Å.
Fractional coordinates of all 5 atoms:
Si: 0.0000 0.0000 0.0000  4 Au 2.57
Au: 0.6175 0.1175 0.5000  2 Si 2.57, 2 Zn 2.57, 1 Au 2.84
Au: 0.8825 0.3825 0.5000  2 Zn 2.57, 2 Si 2.57, 1 Au 2.84
Sr: 0.2500 0.7500 0.5000  8 Au 3.47, 4 Si 3.49, 4 Zn 3.49
Zn: 0.5000 0.5000 0.0000  4 Au 2.57

=====

What is the electronic total energy in the fourth record? -4.00 eV per atom